(1)
First-principles (PBE-GGA) data for a relaxed structure of LaSc3B, as listed in Alexandria.

POSCAR file:
```
LaSc3B
1.0
5.132 0.000 0.000
0.000 5.132 0.000
0.000 0.000 5.132
La Sc B
1 3 1
Direct
0.000 0.000 0.000
0.000 0.000 0.500
0.000 0.500 0.000
0.500 0.000 0.000
0.500 0.500 0.500
```

Summary:
* energy of formation: 1.80 eV per atom
* M_tot: 0.00 μB per atom


(2)
First-principles (PBE-GGA) data for a relaxed structure of LaSc2B, as listed in Alexandria.

POSCAR file:
```
LaSc2B
1.0
1.696 0.979 10.298
-1.696 0.979 10.298
0.000 -1.959 10.298
La Sc B
1 2 1
Direct
0.000 0.000 0.000
0.424 0.424 0.424
0.576 0.576 0.576
0.500 0.500 0.500
```

Summary:
* energy of formation: 0.91 eV per atom
* M_tot: 0.00 μB per atom